First-principles (PBE) data for a relaxed structure of Y2Al4CoPd, as listed in OQMD via LeMat-Bulk.

Computed properties:
Its space-group type is No. 38. As for the total energy: -5.686 eV per atom. The volume comes out at 18.53 A^3/atom.

Cell lengths 7.0718, 5.5086, 5.5086 Å; angles 43.70, 90.00, 90.00 degrees
Sites, in units of the cell vectors:
Al 0.2077 0.3433 0.3433
Pd 0.0000 0.7827 0.7827
Al 0.3140 0.6559 0.6559
Y 0.0000 0.0632 0.0632
Co 0.5000 0.2144 0.2144
Al 0.6860 0.6559 0.6559
Y 0.5000 0.9413 0.9413
Al 0.7923 0.3433 0.3433